(1)
A plane-wave DFT calculation with PBE was carried out for K2MnH6Pd after structural relaxation.

Summary:
Space-group type = P-3m1
Raw total energy = -3.786 eV per atom

Unit cell a=5.697 b=5.697 c=5.110 alpha=90.00 beta=90.00 gamma=120.00
Element x y z (fractional)
K 0.333 0.667 0.252
K 0.667 0.333 0.748
Mn 0.000 0.000 0.000
H 0.132 0.264 0.778
H 0.132 0.868 0.778
H 0.264 0.132 0.222
H 0.736 0.868 0.778
H 0.868 0.132 0.222
H 0.868 0.736 0.222
Pd 0.000 0.000 0.500



(2)
A plane-wave DFT calculation with PBE was carried out for HfRhBr3 after structural relaxation.

Summary:
Energy above the most stable polymorph in this dataset = 244 meV/atom
Space-group type = Pm-3m

Unit cell a=5.018 b=5.018 c=5.018 alpha=90.00 beta=90.00 gamma=90.00
Element x y z (fractional)
Hf 0.000 0.000 0.000
Rh 0.500 0.500 0.500
Br 0.000 0.500 0.500
Br 0.500 0.000 0.500
Br 0.500 0.500 0.000



DOS(E_F) (computed, states/eV/f.u.): 3.05, 7.52